DFT (PBE-GGA) results for PBrCl2 after structural relaxation.

Calculated values
total energy: -2.4462 eV/atom
DOS at the Fermi energy: 3.327 states/eV/cell
distance to the lowest polymorph of the same formula: 667.3 meV/atom
formation energy from raw total energies: 0.25 eV/atom
space-group type: R-3m (166)

a b c (Å): 8.2817 8.2817 8.2817
angles (deg): 26.30 26.30 26.30
Fractional coordinates of all 4 atoms:
Br: 0.7500 0.7500 0.7500
Cl: 0.9707 0.9707 0.9707
Cl: 0.5293 0.5293 0.5293
P: 0.2500 0.2500 0.2500

***

DFT (PBE-GGA) results for PBrCl2 after structural relaxation.

Calculated values
total energy: -2.5918 eV/atom
DOS at the Fermi energy: 2.208 states/eV/cell
distance to the lowest polymorph of the same formula: 521.8 meV/atom
formation energy from raw total energies: 0.10 eV/atom
space-group type: Imm2 (44)

a b c (Å): 7.3245 7.3245 7.3245
angles (deg): 153.58 139.13 49.33
Fractional coordinates of all 4 atoms:
Br: 0.3577 0.8577 0.5000
Cl: 0.0032 0.0032 0.0000
Cl: 0.6365 0.1365 0.5000
P: 0.5026 0.5026 0.0000

***

DFT (PBE-GGA) results for PBrCl after structural relaxation.

Calculated values
total energy: -2.4525 eV/atom
DOS at the Fermi energy: 1.834 states/eV/cell
distance to the lowest polymorph of the same formula: 967.9 meV/atom
formation energy from raw total energies: 0.52 eV/atom
space-group type: I4mm (107)

a b c (Å): 7.2037 7.2037 7.2037
angles (deg): 154.05 154.05 37.03
Fractional coordinates of all 3 atoms:
Br: 0.0465 0.0465 0.0000
Cl: 0.2878 0.2878 0.0000
P: 0.6657 0.6657 0.0000

***

DFT (PBE-GGA) results for PBrCl2 after structural relaxation.

Calculated values
total energy: -2.1050 eV/atom
DOS at the Fermi energy: 1.942 states/eV/cell
distance to the lowest polymorph of the same formula: 1008.6 meV/atom
formation energy from raw total energies: 0.59 eV/atom
space-group type: Pmmm (47)

a b c (Å): 3.6117 7.4861 4.0219
angles (deg): 90.00 90.00 90.00
Fractional coordinates of all 4 atoms:
Br: 0.0000 0.5000 0.5000
Cl: 0.0000 0.0000 0.0000
Cl: 0.5000 0.5000 0.0000
P: 0.5000 0.0000 0.5000

***

DFT (PBE-GGA) results for PBr2Cl after structural relaxation.

Calculated values
total energy: -2.4356 eV/atom
DOS at the Fermi energy: 3.820 states/eV/cell
distance to the lowest polymorph of the same formula: 683.8 meV/atom
formation energy from raw total energies: 0.22 eV/atom
space-group type: Cmm2 (35)

a b c (Å): 4.9569 4.9569 10.3088
angles (deg): 90.00 90.00 140.39
Fractional coordinates of all 4 atoms:
Br: 0.0000 0.0000 0.9210
Br: 0.5000 0.5000 0.2472
Cl: 0.0000 0.0000 0.5861
P: 0.5000 0.5000 0.7457

***

DFT (PBE-GGA) results for PBr2Cl after structural relaxation.

Calculated values
total energy: -2.3387 eV/atom
DOS at the Fermi energy: 12.711 states/eV/cell
distance to the lowest polymorph of the same formula: 780.7 meV/atom
formation energy from raw total energies: 0.31 eV/atom
space-group type: I-42d (122)

a b c (Å): 6.9508 6.9508 7.8346
angles (deg): 63.67 63.67 90.00
Fractional coordinates of all 8 atoms:
P: 0.5000 0.5000 0.0000
P: 0.2500 0.7500 0.5000
Br: 0.4861 0.1250 0.2500
Br: 0.2639 0.6250 0.2500
Br: 0.3750 0.5139 0.7500
Br: 0.8750 0.7361 0.7500
Cl: 0.0000 0.0000 0.0000
Cl: 0.7500 0.2500 0.5000

***

Q: Which value of DOS at the Fermi energy does entry 1 give?
A: 3.327 states/eV/cell